<P>
Ta2TeC2 after structural relaxation. Source: Alexandria via LeMat-Bulk, functional PBE.

Its space group is No. 127. Its calculated density is 12.0 g cm⁻³. As for the crystal system: tetragonal.

abc: 6.7601 6.7601 3.1083
angles: 90.00 90.00 90.00
With the nearest neighbours (Å) after each atom.
Sites, in units of the cell vectors:
Ta (0.1514, 0.3486, 0.0000)  4 C 2.27
Ta (0.3486, 0.8486, 0.0000)  4 C 2.27
Ta (0.6514, 0.1514, 0.0000)  4 C 2.27
Ta (0.8486, 0.6514, 0.0000)  4 C 2.27
Te (0.0000, 0.0000, 0.5000)  4 C 2.88, 8 Ta 3.00, 2 Te 3.11
Te (0.5000, 0.5000, 0.5000)  4 C 2.88, 8 Ta 3.00, 2 Te 3.11
C (0.0828, 0.5828, 0.5000)  1 C 1.58
C (0.4172, 0.0828, 0.5000)  1 C 1.58
C (0.5828, 0.9172, 0.5000)  1 C 1.58
C (0.9172, 0.4172, 0.5000)  1 C 1.58


<Q>
Ta2TeC2 after structural relaxation. Source: Alexandria via LeMat-Bulk, functional PBE.

Its space group is No. 139. Its calculated density is 9.7 g cm⁻³. As for the crystal system: tetragonal.

abc: 5.8027 5.8027 5.8027
angles: 137.54 137.54 61.60
With the nearest neighbours (Å) after each atom.
Sites, in units of the cell vectors:
Ta (0.2500, 0.7500, 0.5000)  4 C 2.15
Ta (0.7500, 0.2500, 0.5000)  4 C 2.15
Te (0.0000, 0.0000, 0.0000)  2 C 2.97, 8 Ta 3.26
C (0.2975, 0.2975, 0.0000)  4 Ta 2.15
C (0.7025, 0.7025, 0.0000)  4 Ta 2.15


Which of them is the most stable, and which is the least stable? <Q> and <P>, in that order.


<P>
Ta2TiC3 after structural relaxation. Source: Alexandria via LeMat-Bulk, functional PBE.

Its space group is No. 63. Its calculated density is 9.6 g cm⁻³. As for the crystal system: orthorhombic.

abc: 6.3361 6.3361 4.3977
angles: 90.00 90.00 61.09
With the nearest neighbours (Å) after each atom.
Sites, in units of the cell vectors:
Ta (0.9997, 0.3315, 0.2500)  5 C 2.11-2.20
Ta (0.0003, 0.6685, 0.7500)  5 C 2.11-2.20
Ta (0.3315, 0.9997, 0.7500)  5 C 2.11-2.20
Ta (0.6685, 0.0003, 0.2500)  5 C 2.11-2.20
Ti (0.3376, 0.6624, 0.2500)  5 C 2.10-2.20
Ti (0.6624, 0.3376, 0.7500)  5 C 2.10-2.20
C (0.9999, 0.3314, 0.7500)  1 Ti 2.12, 4 Ta 2.14-2.20
C (0.0001, 0.6686, 0.2500)  1 Ti 2.12, 4 Ta 2.14-2.20
C (0.3314, 0.9999, 0.2500)  1 Ti 2.12, 4 Ta 2.14-2.20
C (0.3364, 0.6636, 0.7500)  3 Ti 2.10-2.20, 2 Ta 2.11
C (0.6636, 0.3364, 0.2500)  3 Ti 2.10-2.20, 2 Ta 2.11
C (0.6686, 0.0001, 0.7500)  1 Ti 2.12, 4 Ta 2.14-2.20


<Q>
Ta2TiC3 after structural relaxation. Source: Alexandria via LeMat-Bulk, functional PBE.

Its space group is No. 71. Its calculated density is 11.3 g cm⁻³. As for the crystal system: orthorhombic.

abc: 5.4316 5.4316 5.4316
angles: 146.47 131.66 60.11
With the nearest neighbours (Å) after each atom.
Sites, in units of the cell vectors:
Ta (0.1652, 0.1652, 0.0000)  6 C 2.21-2.24
Ta (0.8348, 0.8348, 0.0000)  6 C 2.21-2.24
Ti (0.5000, 0.5000, 0.0000)  6 C 2.20-2.22
C (0.0000, 0.5000, 0.5000)  4 Ta 2.21, 2 Ti 2.22
C (0.3356, 0.8356, 0.5000)  2 Ti 2.20, 4 Ta 2.22-2.24
C (0.6644, 0.1644, 0.5000)  2 Ti 2.20, 4 Ta 2.22-2.24


Which of them is the most stable, and which is the least stable? <Q> and <P>, in that order.


<P>
TaTiC3 after structural relaxation. Source: Alexandria via LeMat-Bulk, functional PBE.

Its space group is No. 221. Its calculated density is 7.5 g cm⁻³. As for the crystal system: cubic.

abc: 3.8774 3.8774 3.8774
angles: 90.00 90.00 90.00
With the nearest neighbours (Å) after each atom.
Sites, in units of the cell vectors:
Ta (0.0000, 0.0000, 0.0000)  12 C 2.74
Ti (0.5000, 0.5000, 0.5000)  6 C 1.94
C (0.0000, 0.5000, 0.5000)  2 Ti 1.94
C (0.5000, 0.0000, 0.5000)  2 Ti 1.94
C (0.5000, 0.5000, 0.0000)  2 Ti 1.94


<Q>
TaTiC3 after structural relaxation. Source: Alexandria via LeMat-Bulk, functional PBE.

Its space group is No. 221. Its calculated density is 6.4 g cm⁻³. As for the crystal system: cubic.

abc: 4.0878 4.0878 4.0878
angles: 90.00 90.00 90.00
With the nearest neighbours (Å) after each atom.
Sites, in units of the cell vectors:
Ta (0.0000, 0.0000, 0.0000)  6 C 2.04
Ti (0.5000, 0.5000, 0.5000)  12 C 2.89
C (0.0000, 0.0000, 0.5000)  2 Ta 2.04
C (0.0000, 0.5000, 0.0000)  2 Ta 2.04
C (0.5000, 0.0000, 0.0000)  2 Ta 2.04


Which of them is the most stable, and which is the least stable? <Q> and <P>, in that order.


<P>
Ta3TlC after structural relaxation. Source: Alexandria via LeMat-Bulk, functional PBE.

Its space group is No. 221. Its calculated density is 9.7 g cm⁻³. As for the crystal system: cubic.

abc: 5.0660 5.0660 5.0660
angles: 90.00 90.00 90.00
With the nearest neighbours (Å) after each atom.
Sites, in units of the cell vectors:
Ta (0.0000, 0.0000, 0.5000)  2 Tl 2.53
Ta (0.0000, 0.5000, 0.0000)  2 Tl 2.53
Ta (0.5000, 0.0000, 0.0000)  2 Tl 2.53
Tl (0.0000, 0.0000, 0.0000)  6 Ta 2.53
C (0.5000, 0.5000, 0.5000)  12 Ta 3.58


<Q>
Ta3TlC after structural relaxation. Source: Alexandria via LeMat-Bulk, functional PBE.

Its space group is No. 221. Its calculated density is 15.2 g cm⁻³. As for the crystal system: cubic.

abc: 4.3629 4.3629 4.3629
angles: 90.00 90.00 90.00
With the nearest neighbours (Å) after each atom.
Sites, in units of the cell vectors:
Ta (0.0000, 0.0000, 0.5000)  2 C 2.18
Ta (0.0000, 0.5000, 0.0000)  2 C 2.18
Ta (0.5000, 0.0000, 0.0000)  2 C 2.18
Tl (0.5000, 0.5000, 0.5000)  12 Ta 3.09
C (0.0000, 0.0000, 0.0000)  6 Ta 2.18


Which of them is the most stable, and which is the least stable? <Q> and <P>, in that order.


<P>
TaTl2C after structural relaxation. Source: Alexandria via LeMat-Bulk, functional PBE.

Its space group is No. 122. Its calculated density is 10.7 g cm⁻³. As for the crystal system: tetragonal.

abc: 7.0038 7.0038 7.0038
angles: 95.13 95.13 145.19
With the nearest neighbours (Å) after each atom.
Sites, in units of the cell vectors:
Ta (0.0000, 0.0000, 0.0000)  2 C 2.09
Ta (0.7500, 0.2500, 0.5000)  2 C 2.09
Tl (0.2632, 0.6250, 0.1382)  2 C 2.64
Tl (0.3750, 0.5132, 0.6382)  2 C 2.64
Tl (0.4868, 0.1250, 0.8618)  2 C 2.64
Tl (0.8750, 0.7368, 0.3618)  2 C 2.64
C (0.2500, 0.7500, 0.5000)  2 Ta 2.09
C (0.5000, 0.5000, 0.0000)  2 Ta 2.09


<Q>
TaTl2C after structural relaxation. Source: Alexandria via LeMat-Bulk, functional PBE.

Its space group is No. 225. Its calculated density is 12.3 g cm⁻³. As for the crystal system: cubic.

abc: 4.8551 4.8551 4.8551
angles: 60.00 60.00 60.00
With the nearest neighbours (Å) after each atom.
Sites, in units of the cell vectors:
Ta (0.0000, 0.0000, 0.0000)  8 Tl 2.97
Tl (0.2500, 0.2500, 0.2500)  4 Ta 2.97, 4 C 2.97
Tl (0.7500, 0.7500, 0.7500)  4 C 2.97, 4 Ta 2.97
C (0.5000, 0.5000, 0.5000)  8 Tl 2.97


Which of them is the most stable, and which is the least stable? <P> and <Q>, in that order.


<P>
TmTaC after structural relaxation. Source: Alexandria via LeMat-Bulk, functional PBE.

Its space group is No. 156. Its calculated density is 11.9 g cm⁻³. As for the crystal system: trigonal.

abc: 3.2695 3.2695 5.4467
angles: 90.00 90.00 120.00
With the nearest neighbours (Å) after each atom.
Sites, in units of the cell vectors:
Tm (0.0000, 0.0000, 0.0000)  3 C 2.44
Ta (0.3333, 0.6667, 0.5199)  3 C 2.17
C (0.6667, 0.3333, 0.7167)  3 Ta 2.17


<Q>
TmTaC after structural relaxation. Source: Alexandria via LeMat-Bulk, functional PBE.

Its space group is No. 146. Its calculated density is 11.9 g cm⁻³. As for the crystal system: trigonal.

abc: 6.3135 6.3135 6.3135
angles: 53.51 53.51 53.51
With the nearest neighbours (Å) after each atom.
Sites, in units of the cell vectors:
Tm (0.0053, 0.6732, 0.3215)  3 C 2.42-2.46
Tm (0.3215, 0.0053, 0.6732)  3 C 2.42-2.46
Tm (0.6732, 0.3215, 0.0053)  3 C 2.42-2.46
Ta (0.1634, 0.4973, 0.8292)  3 C 2.17-2.23
Ta (0.4973, 0.8292, 0.1634)  3 C 2.17-2.23
Ta (0.8292, 0.1634, 0.4973)  3 C 2.17-2.23
C (0.0984, 0.0984, 0.0984)  3 Ta 2.17
C (0.4296, 0.4296, 0.4296)  3 Ta 2.18
C (0.9027, 0.9027, 0.9027)  3 Ta 2.23, 3 Tm 2.42


Which of them is the most stable, and which is the least stable? <P> and <Q>, in that order.